YAgSn: optimized geometry, PBE.

Output
- ΔE_f (eV per atom) = -0.34

```
data_YAgSn
_cell_length_a 4.246
_cell_length_b 17.178
_cell_length_c 4.165
_cell_angle_alpha 90.00
_cell_angle_beta 90.00
_cell_angle_gamma 90.00
_symmetry_space_group_name_H-M 'C m c m'
_symmetry_Int_Tables_number 63
_symmetry_space_group_name_Hall '-C 2c 2'
loop_
_atom_site_label
_atom_site_fract_x
_atom_site_fract_y
_atom_site_fract_z
_atom_site_occupancy
Y1 0.000 0.104 0.250 1
Ag1 0.000 0.278 0.250 1
Sn1 0.000 0.442 0.250 1
```